[1]
Pa3Ge: optimized geometry, PBE.

a = 5.057 Å, b = 5.057 Å, c = 5.057 Å
α = 60.00°, β = 60.00°, γ = 60.00°
Fractional positions:
Pa (0.750, 0.750, 0.750)
Pa (0.250, 0.250, 0.250)
Ge (0.500, 0.500, 0.500)
Pa (0.000, 0.000, 0.000)

The calculation puts the energy above the most stable polymorph in this dataset at 292 meV per atom. The value obtained for the total magnetization is 0.00 μB per formula unit. The value obtained for the mass density is 13.9 g cm⁻³. As for the formation energy: -5 meV/atom.

[2]
PaGe4: optimized geometry, PBE.

a = 5.441 Å, b = 5.441 Å, c = 5.441 Å
α = 90.00°, β = 90.00°, γ = 90.00°
Last column: magnetic moment on the atom in μB.
Fractional positions:
Ge (0.500, 0.000, 0.500)  0.11
Ge (0.000, 0.500, 0.500)  0.11
Pa (0.500, 0.500, 0.500)  0.76
Ge (0.500, 0.500, 0.000)  0.11
Ge (0.000, 0.000, 0.000)  -0.04

The value obtained for the total magnetization is 1.26 μB per formula unit. The value obtained for the mass density is 5.4 g cm⁻³. As for the formation energy: 1035 meV/atom.

[3]
Pa5Ge4: optimized geometry, PBE.

a = 6.020 Å, b = 8.806 Å, c = 8.806 Å
α = 120.00°, β = 90.00°, γ = 90.00°
Last column: magnetic moment on the atom in μB.
Fractional positions:
Ge (0.250, 0.000, 0.375)  0.00
Pa (0.000, 0.667, 0.333)  0.22
Ge (0.250, 0.375, 0.000)  0.00
Pa (0.250, 0.715, 0.000)  0.06
Pa (0.750, 0.000, 0.285)  0.06
Ge (0.250, 0.625, 0.625)  0.00
Pa (0.500, 0.333, 0.667)  0.22
Ge (0.750, 0.375, 0.375)  0.00
Ge (0.750, 0.000, 0.625)  0.00
Pa (0.250, 0.285, 0.285)  0.06
Pa (0.750, 0.715, 0.715)  0.06
Ge (0.750, 0.625, 0.000)  0.00
Pa (0.500, 0.667, 0.333)  0.22
Pa (0.250, 0.000, 0.715)  0.06
Ge (0.500, 0.000, 0.000)  0.00
Pa (0.000, 0.333, 0.667)  0.22
Pa (0.750, 0.285, 0.000)  0.06
Ge (0.000, 0.000, 0.000)  0.00

The value obtained for the total magnetization is 0.68 μB per formula unit. The value obtained for the mass density is 11.9 g cm⁻³. As for the formation energy: -516 meV/atom.

[4]
Pa3Ge: optimized geometry, PBE.

a = 4.473 Å, b = 4.473 Å, c = 5.497 Å
α = 114.00°, β = 114.00°, γ = 90.00°
Fractional positions:
Pa (0.500, 0.500, 0.000)
Pa (0.750, 0.250, 0.500)
Ge (0.000, 0.000, 0.000)
Pa (0.250, 0.750, 0.500)

The calculation puts the energy above the most stable polymorph in this dataset at 34 meV per atom. The value obtained for the total magnetization is 0.00 μB per formula unit. The value obtained for the mass density is 14.1 g cm⁻³. As for the formation energy: -263 meV/atom.

[5]
PaGe3: optimized geometry, PBE.

a = 4.271 Å, b = 4.272 Å, c = 4.272 Å
α = 90.00°, β = 90.00°, γ = 90.00°
Fractional positions:
Ge (0.500, 0.000, 0.417)
Ge (0.000, 0.500, 0.417)
Pa (0.000, 0.000, 0.917)
Ge (0.500, 0.500, 0.916)

The calculation puts the energy above the most stable polymorph in this dataset at 0 meV per atom. The value obtained for the total magnetization is 0.00 μB per formula unit. The value obtained for the mass density is 9.6 g cm⁻³. As for the formation energy: -459 meV/atom.

[6]
Pa5Ge: optimized geometry, PBE.

a = 4.404 Å, b = 4.598 Å, c = 7.294 Å
α = 108.37°, β = 90.00°, γ = 90.00°
Fractional positions:
Pa (0.500, 0.500, 0.000)
Pa (0.000, 0.660, 0.321)
Ge (0.000, 0.000, 0.000)
Pa (0.500, 0.839, 0.679)
Pa (0.000, 0.340, 0.679)
Pa (0.500, 0.161, 0.321)

The value obtained for the total magnetization is 0.00 μB per formula unit. The value obtained for the mass density is 14.5 g cm⁻³. As for the formation energy: -170 meV/atom.

[7]
Pa3Ge: optimized geometry, PBE.

a = 3.172 Å, b = 5.483 Å, c = 6.147 Å
α = 116.49°, β = 104.95°, γ = 90.00°
Fractional positions:
Pa (0.736, 0.060, 0.473)
Ge (0.000, 0.016, 0.000)
Pa (0.264, 0.587, 0.527)
Pa (0.500, 0.503, 0.000)

The calculation puts the energy above the most stable polymorph in this dataset at 82 meV per atom. The value obtained for the total magnetization is 0.00 μB per formula unit. The value obtained for the mass density is 13.9 g cm⁻³. As for the formation energy: -215 meV/atom.

[8]
Pa2GePb: optimized geometry, PBE.

a = 4.305 Å, b = 4.783 Å, c = 4.783 Å
α = 90.00°, β = 90.00°, γ = 90.00°
Last column: magnetic moment on the atom in μB.
Fractional positions:
Pa (0.000, 0.500, 0.000)  0.57
Ge (0.500, 0.000, 0.000)  -0.02
Pa (0.000, 0.000, 0.500)  0.57
Pb (0.500, 0.500, 0.500)  -0.01

The calculation puts the energy above the most stable polymorph in this dataset at 133 meV per atom. The value obtained for the total magnetization is 1.34 μB per formula unit. The value obtained for the mass density is 12.5 g cm⁻³. As for the formation energy: -11 meV/atom.

[9]
Pa2GePb: optimized geometry, PBE.

a = 4.241 Å, b = 4.241 Å, c = 7.567 Å
α = 73.72°, β = 73.72°, γ = 60.00°
Fractional positions:
Ge (0.000, 0.000, 0.000)
Pb (0.500, 0.500, 0.500)
Pa (0.260, 0.260, 0.220)
Pa (0.740, 0.740, 0.780)

The calculation puts the energy above the most stable polymorph in this dataset at 60 meV per atom. The value obtained for the total magnetization is 0.00 μB per formula unit. The value obtained for the mass density is 11.0 g cm⁻³. As for the formation energy: -84 meV/atom.

[10]
Pa2GePb: optimized geometry, PBE.

a = 4.144 Å, b = 4.144 Å, c = 7.915 Å
α = 74.82°, β = 74.82°, γ = 60.00°
Fractional positions:
Pa (0.072, 0.072, 0.785)
Ge (0.668, 0.668, 0.996)
Pb (0.499, 0.499, 0.502)
Pa (0.261, 0.261, 0.218)

The calculation puts the energy above the most stable polymorph in this dataset at 148 meV per atom. The value obtained for the total magnetization is 0.00 μB per formula unit. The value obtained for the mass density is 11.0 g cm⁻³. As for the formation energy: 4 meV/atom.

[11]
PaGePb2: optimized geometry, PBE.

a = 3.301 Å, b = 3.301 Å, c = 11.917 Å
α = 82.04°, β = 82.04°, γ = 60.00°
Last column: magnetic moment on the atom in μB.
Fractional positions:
Pb (0.907, 0.907, 0.280)  0.00
Pa (0.000, 0.000, 0.000)  0.29
Pb (0.093, 0.093, 0.720)  0.00
Ge (0.500, 0.500, 0.500)  0.00

The calculation puts the energy above the most stable polymorph in this dataset at 500 meV per atom. The value obtained for the total magnetization is 0.35 μB per formula unit. The value obtained for the mass density is 10.7 g cm⁻³. As for the formation energy: 415 meV/atom.

[12]
PaGePb2: optimized geometry, PBE.

a = 4.981 Å, b = 4.497 Å, c = 4.497 Å
α = 90.00°, β = 90.00°, γ = 90.00°
Fractional positions:
Pa (0.500, 0.500, 0.500)
Pb (0.000, 0.500, 0.000)
Pb (0.000, 0.000, 0.500)
Ge (0.500, 0.000, 0.000)

The calculation puts the energy above the most stable polymorph in this dataset at 0 meV per atom. The value obtained for the total magnetization is 0.00 μB per formula unit. The value obtained for the mass density is 11.8 g cm⁻³. As for the formation energy: -85 meV/atom.

[13]
Pa2GePb: optimized geometry, PBE.

a = 3.481 Å, b = 3.481 Å, c = 8.176 Å
α = 90.00°, β = 90.00°, γ = 90.00°
Last column: magnetic moment on the atom in μB.
Fractional positions:
Pb (0.500, 0.500, 0.500)  -0.01
Pa (0.000, 0.000, 0.789)  0.50
Pa (0.000, 0.000, 0.211)  0.50
Ge (0.500, 0.500, 0.000)  -0.02

The calculation puts the energy above the most stable polymorph in this dataset at 0 meV per atom. The value obtained for the total magnetization is 1.19 μB per formula unit. The value obtained for the mass density is 12.4 g cm⁻³. As for the formation energy: -144 meV/atom.